Computed, not measured: an optimized crystal structure of CoCuGePt at the GGA-PBE level of DFT.

The structure in POSCAR format:
```
CoCuGePt
1.0
0.000 2.975 2.975
2.975 0.000 2.975
2.975 2.975 0.000
Ge Pt Co Cu
1 1 1 1
direct
0.000 0.000 0.000 Ge
0.250 0.250 0.250 Pt
0.750 0.750 0.750 Co
0.500 0.500 0.500 Cu
```

Energy above the most stable polymorph in this dataset   0.000 eV/f.u.
Space-group type   F-43m
Magnetization   0.767 μB per formula unit